Record 1
The following is a PBE-GGA calculation of an optimized crystal structure of BaAsAu4, from Alexandria via LeMat-Bulk.

Cell lengths 5.763, 5.763, 5.763 Å; angles 60.00, 60.00, 60.00 degrees
Atoms (fractional coordinates):
1 Ba 0.000 0.000 0.000
2 As 0.750 0.750 0.750
3 Au 0.375 0.375 0.375
4 Au 0.375 0.375 0.874
5 Au 0.375 0.874 0.375
6 Au 0.874 0.375 0.375

M_tot = 0.00 μB/cell
Uncorrected energy = -3.56 eV/atom
Energy relative to the lowest polymorph listed for this composition = 0.065 eV/atom
Energy relative to the elements = -0.284 eV per atom
Crystal system = cubic

***

Record 2
The following is a PBE-GGA calculation of an optimized crystal structure of Ba3AsAu, from Alexandria via LeMat-Bulk.

Cell lengths 6.294, 6.294, 6.294 Å; angles 90.00, 90.00, 90.00 degrees
Atoms (fractional coordinates):
1 Ba 0.000 0.000 0.500
2 Ba 0.000 0.500 0.000
3 Ba 0.500 0.000 0.000
4 As 0.000 0.000 0.000
5 Au 0.500 0.500 0.500

M_tot = 0.00 μB/cell
Uncorrected energy = -3.21 eV/atom
Energy relative to the lowest polymorph listed for this composition = 0.281 eV/atom
Energy relative to the elements = -0.470 eV per atom
Crystal system = cubic

***

Record 3
The following is a PBE-GGA calculation of an optimized crystal structure of BaAs2Au4, from Alexandria via LeMat-Bulk.

Cell lengths 9.158, 6.832, 6.454 Å; angles 90.00, 117.49, 90.00 degrees
Atoms (fractional coordinates):
1 Ba 0.000 0.000 0.000
2 Ba 0.500 0.500 0.000
3 As 0.075 0.500 0.784
4 As 0.425 0.000 0.216
5 As 0.575 0.000 0.784
6 As 0.925 0.500 0.216
7 Au 0.000 0.206 0.500
8 Au 0.000 0.794 0.500
9 Au 0.209 0.500 0.258
10 Au 0.291 0.000 0.742
11 Au 0.500 0.294 0.500
12 Au 0.500 0.706 0.500
13 Au 0.709 0.000 0.258
14 Au 0.791 0.500 0.742

M_tot = 0.00 μB/cell
Uncorrected energy = -3.81 eV/atom
Energy relative to the elements = -0.333 eV per atom
Crystal system = monoclinic

***

Record 4
The following is a PBE-GGA calculation of an optimized crystal structure of Ba6AsAu, from Alexandria via LeMat-Bulk.

Cell lengths 8.073, 8.073, 15.455 Å; angles 90.00, 90.00, 120.00 degrees
Atoms (fractional coordinates):
1 Ba 0.003 0.330 0.123
2 Ba 0.003 0.673 0.377
3 Ba 0.327 0.330 0.377
4 Ba 0.327 0.997 0.123
5 Ba 0.330 0.003 0.623
6 Ba 0.330 0.327 0.877
7 Ba 0.670 0.673 0.123
8 Ba 0.670 0.997 0.377
9 Ba 0.673 0.003 0.877
10 Ba 0.673 0.670 0.623
11 Ba 0.997 0.327 0.623
12 Ba 0.997 0.670 0.877
13 As 0.000 0.000 0.000
14 As 0.000 0.000 0.500
15 Au 0.333 0.667 0.250
16 Au 0.667 0.333 0.750

M_tot = 0.00 μB/cell
Uncorrected energy = -2.91 eV/atom
Energy relative to the elements = -0.482 eV per atom
Crystal system = trigonal

***

Record 5
The following is a PBE-GGA calculation of an optimized crystal structure of BaAs2Au, from Alexandria via LeMat-Bulk.

Cell lengths 10.317, 4.272, 5.447 Å; angles 90.00, 105.41, 90.00 degrees
Atoms (fractional coordinates):
1 Ba 0.000 0.000 0.000
2 Ba 0.500 0.500 0.000
3 As 0.051 0.500 0.529
4 As 0.297 0.500 0.410
5 As 0.551 0.000 0.529
6 As 0.797 0.000 0.410
7 Au 0.211 0.000 0.579
8 Au 0.711 0.500 0.579

M_tot = 0.00 μB/cell
Uncorrected energy = -4.11 eV/atom
Energy relative to the elements = -0.486 eV per atom
Crystal system = monoclinic

***

Record 6
The following is a PBE-GGA calculation of an optimized crystal structure of BaAs4Au, from Alexandria via LeMat-Bulk.

Cell lengths 5.962, 5.962, 5.962 Å; angles 60.00, 60.00, 60.00 degrees
Atoms (fractional coordinates):
1 Ba 0.000 0.000 0.000
2 As 0.174 0.609 0.609
3 As 0.609 0.174 0.609
4 As 0.609 0.609 0.174
5 As 0.609 0.609 0.609
6 Au 0.250 0.250 0.250

M_tot = 0.00 μB/cell
Uncorrected energy = -4.13 eV/atom
Energy relative to the elements = -0.160 eV per atom
Crystal system = cubic

***

Record 7
The following is a PBE-GGA calculation of an optimized crystal structure of Ba4AsAu, from Alexandria via LeMat-Bulk.

Cell lengths 8.144, 4.759, 8.461 Å; angles 90.00, 109.60, 90.00 degrees
Atoms (fractional coordinates):
1 Ba 0.230 0.000 0.252
2 Ba 0.232 0.500 0.740
3 Ba 0.768 0.500 0.260
4 Ba 0.770 0.000 0.748
5 As 0.000 0.000 0.500
6 Au 0.000 0.500 0.000

M_tot = 0.00 μB/cell
Uncorrected energy = -3.26 eV/atom
Energy relative to the lowest polymorph listed for this composition = 0.000 eV/atom
Energy relative to the elements = -0.654 eV per atom
Crystal system = monoclinic

***

Record 8
The following is a PBE-GGA calculation of an optimized crystal structure of Ba3As4Au, from Alexandria via LeMat-Bulk.

Cell lengths 5.109, 5.986, 16.905 Å; angles 90.00, 90.00, 90.00 degrees
Atoms (fractional coordinates):
1 Ba 0.000 0.000 0.000
2 Ba 0.000 0.500 0.191
3 Ba 0.000 0.500 0.809
4 Ba 0.500 0.000 0.309
5 Ba 0.500 0.000 0.691
6 Ba 0.500 0.500 0.500
7 As 0.000 0.289 0.381
8 As 0.000 0.289 0.619
9 As 0.000 0.711 0.381
10 As 0.000 0.711 0.619
11 As 0.500 0.211 0.119
12 As 0.500 0.211 0.881
13 As 0.500 0.789 0.119
14 As 0.500 0.789 0.881
15 Au 0.000 0.000 0.500
16 Au 0.500 0.500 0.000

M_tot = 0.00 μB/cell
Uncorrected energy = -4.28 eV/atom
Energy relative to the elements = -0.824 eV per atom
Crystal system = orthorhombic